(1)
## ThCd2Sn (PBE)

Data for a relaxed structure of ThCd2Sn.

Structure (POSCAR):
```
ThCd2Sn
1.0
1.682 0.971 11.621
-1.682 0.971 11.621
0.000 -1.942 11.621
Th Cd Sn
1 2 1
Direct
0.000 0.000 0.000
0.093 0.093 0.093
0.907 0.907 0.907
0.500 0.500 0.500
```

Properties
- calculated volume (Å³ per atom) = 28.469
- energy of formation from the pure elements (eV per atom) = 0.24
- total magnetization (μB/f.u.) = 0.0
- total energy (eV per atom) = -3.0738

(2)
## SrAs2SeI (PBE)

Data for a relaxed structure of SrAs2SeI.

Structure (POSCAR):
```
SrAs2SeI
1.0
5.417 0.000 0.000
0.000 5.417 0.000
0.000 0.000 5.456
Sr As Se I
1 2 1 1
Direct
0.000 0.000 0.000
0.000 0.500 0.500
0.500 0.000 0.500
0.500 0.500 0.000
0.500 0.500 0.500
```

Properties
- raw formation energy (kJ/mol of atoms) = 22.40
- calculated volume (Å³ per atom) = 32.021
- total magnetization (μB/f.u.) = 0.0
- total energy (eV per atom) = -2.9710

(3)
## CaLaTl (PBE)

Data for a relaxed structure of CaLaTl.

Structure (POSCAR):
```
CaLaTl
1.0
0.000 3.833 3.833
3.833 0.000 3.833
3.833 3.833 0.000
Ca La Tl
1 1 1
Direct
0.000 0.000 0.000
0.500 0.500 0.500
0.750 0.750 0.750
```

Properties
- calculated volume (Å³ per atom) = 37.550
- energy of formation from the pure elements (eV per atom) = -0.22
- total magnetization (μB/f.u.) = 0.0
- total energy (eV per atom) = -3.3161

(4)
## TlCrP2 (PBE)

Data for a relaxed structure of TlCrP2.

Structure (POSCAR):
```
TlCrP2
1.0
2.756 -3.730 0.000
2.756 3.730 0.000
0.000 0.000 3.607
Tl Cr P
1 1 2
Direct
0.000 0.000 0.000
0.500 0.500 0.000
0.000 0.500 0.500
0.500 0.000 0.500
```

Properties
- calculated volume (Å³ per atom) = 18.541
- energy of formation from the pure elements (eV per atom) = 0.56
- total magnetization (μB/f.u.) = 3.4
- total energy (eV per atom) = -5.1380

(5)
## Te6Pd2Au (PBE)

Data for a relaxed structure of Te6Pd2Au.

Structure (POSCAR):
```
Te6Pd2Au
1.0
6.342 0.000 0.000
0.000 6.342 0.000
0.000 0.000 12.910
Te Pd Au
12 4 2
Direct
0.174 0.174 0.000
0.193 0.193 0.331
0.193 0.193 0.669
0.307 0.693 0.169
0.307 0.693 0.831
0.326 0.674 0.500
0.674 0.326 0.500
0.693 0.307 0.169
0.693 0.307 0.831
0.807 0.807 0.331
0.807 0.807 0.669
0.826 0.826 0.000
0.000 0.000 0.171
0.000 0.000 0.829
0.500 0.500 0.329
0.500 0.500 0.671
0.000 0.000 0.500
0.500 0.500 0.000
```

Properties
- raw formation energy (kJ/mol of atoms) = -1.76
- calculated volume (Å³ per atom) = 28.847
- total magnetization (μB/f.u.) = 0.0
- total energy (eV per atom) = -3.6308

(6)
## BaSr2CaCl (PBE)

Data for a relaxed structure of BaSr2CaCl.

Structure (POSCAR):
```
BaSr2CaCl
1.0
5.997 0.000 0.000
0.000 5.997 0.000
0.000 0.000 6.465
Ba Sr Ca Cl
1 2 1 1
Direct
0.000 0.000 0.000
0.000 0.500 0.500
0.500 0.000 0.500
0.500 0.500 0.000
0.000 0.000 0.500
```

Properties
- raw formation energy (kJ/mol of atoms) = -58.88
- calculated volume (Å³ per atom) = 46.504
- total magnetization (μB/f.u.) = 0.0
- total energy (eV per atom) = -2.4372